# PBE SbTe3Pd12, optimized geometry
# Fermi-level density of states = 15.27 states/eV/f.u.
# V = 17.2 Å³/atom
# formation energy (no corrections) = -20.8 kJ per mole of atoms
# VASP energy = -4.96 eV per atom
# space-group type = P4/mmm, No. 123
# M_tot = 0.000 μB per atom
data_SbTe3Pd12
_cell_length_a 4.0581
_cell_length_b 4.0581
_cell_length_c 16.6670
_cell_angle_alpha 90.00
_cell_angle_beta 90.00
_cell_angle_gamma 90.00
_symmetry_space_group_name_H-M 'P 1'
_symmetry_Int_Tables_number 1
loop_
_symmetry_equiv_pos_as_xyz
'x,y,z'
loop_
_atom_site_label
_atom_site_type_symbol
_atom_site_fract_x
_atom_site_fract_y
_atom_site_fract_z
Pd1 Pd 0.5000 0.0000 0.8825
Pd2 Pd 0.5000 0.5000 0.2379
Pd3 Pd 0.0000 0.5000 0.1175
Pd4 Pd 0.5000 0.0000 0.1175
Pd5 Pd 0.5000 0.5000 0.0000
Pd6 Pd 0.0000 0.5000 0.3704
Pd7 Pd 0.5000 0.5000 0.7621
Pd8 Pd 0.5000 0.0000 0.3704
Pd9 Pd 0.5000 0.0000 0.6296
Pd10 Pd 0.0000 0.5000 0.6296
Pd11 Pd 0.5000 0.5000 0.5000
Pd12 Pd 0.0000 0.5000 0.8825
Te1 Te 0.0000 0.0000 0.7431
Te2 Te 0.0000 0.0000 0.2569
Te3 Te 0.0000 0.0000 0.5000
Sb1 Sb 0.0000 0.0000 0.0000